Record 1
Computed, not measured: a geometry-optimized UCoB2Ir2 structure at the GGA-PBE level of DFT.

abc: 3.9012 3.9012 6.7926
angles: 106.69 106.69 90.00
With the nearest neighbours (Å) after each atom.
Positions (direct):
B 0.6912 0.6912 0.3825  4 Ir 2.08
B 0.3088 0.3088 0.6175  4 Ir 2.08
Co 0.0000 0.0000 0.0000  4 U 2.76
U 0.5000 0.5000 0.0000  2 B 2.37
Ir 0.2500 0.7500 0.5000  4 B 2.08
Ir 0.7500 0.2500 0.5000  4 B 2.08

- Formation energy: 0.321 eV/atom



Record 2
Computed, not measured: a geometry-optimized Tb2Zn3Cd structure at the GGA-PBE level of DFT.

abc: 5.8079 5.8079 8.7151
angles: 104.19 104.19 105.32
With the nearest neighbours (Å) after each atom.
Positions (direct):
Cd 0.3338 0.3338 0.6675  3 Zn 2.73
Cd 0.6662 0.6662 0.3325  3 Zn 2.73
Tb 0.7521 0.7521 0.0000  10 Zn 3.12-3.23, 2 Cd 3.19, 1 Tb 3.49
Tb 0.2500 0.7500 0.5000  4 Cd 3.20, 8 Zn 3.22, 2 Tb 3.52
Tb 0.7500 0.2500 0.5000  4 Cd 3.20, 8 Zn 3.22, 2 Tb 3.52
Tb 0.2479 0.2479 0.0000  10 Zn 3.12-3.23, 2 Cd 3.19, 1 Tb 3.49
Zn 0.1623 0.1623 0.3246  2 Zn 2.59, 1 Cd 2.73
Zn 0.6750 0.1624 0.8374  2 Zn 2.59, 1 Cd 2.73
Zn 0.1624 0.6750 0.8374  2 Zn 2.59, 1 Cd 2.73
Zn 0.3250 0.8376 0.1626  2 Zn 2.59, 1 Cd 2.73
Zn 0.8376 0.3250 0.1626  2 Zn 2.59, 1 Cd 2.73
Zn 0.8377 0.8377 0.6754  2 Zn 2.59, 1 Cd 2.73

- E above lowest polymorph: 0 meV/atom
- Formation energy: -0.342 eV/atom



Record 3
Computed, not measured: a geometry-optimized PuHg2O4 structure at the GGA-PBE level of DFT.

abc: 4.5870 4.5870 6.4305
angles: 110.90 110.90 90.00
With the nearest neighbours (Å) after each atom.
Positions (direct):
O 0.8247 0.8247 0.6495  1 Pu 1.95
O 0.0000 0.5000 0.0000  2 Pu 2.29
O 0.1753 0.1753 0.3505  1 Pu 1.95
O 0.5000 0.0000 0.0000  2 Pu 2.29
Hg 0.6273 0.6273 0.2546  1 O 2.19
Hg 0.3727 0.3727 0.7454  1 O 2.19
Pu 0.0000 0.0000 0.0000  2 O 1.95



Record 4
Computed, not measured: a geometry-optimized CaAl7Ag12 structure at the GGA-PBE level of DFT.

abc: 8.3217 8.3217 8.3217
angles: 109.47 109.47 109.47
With the nearest neighbours (Å) after each atom.
Positions (direct):
Al 0.0000 0.5000 0.0000  6 Ag 2.58
Al 0.0000 0.0000 0.5000  6 Ag 2.58
Al 0.5000 0.0000 0.5000  4 Ag 2.61
Al 0.5000 0.5000 0.0000  4 Ag 2.61
Al 0.0000 0.5000 0.5000  4 Ag 2.61
Al 0.5000 0.0000 0.0000  6 Ag 2.58
Al 0.5000 0.5000 0.5000  6 Ag 2.58
Ag 0.2789 0.8421 0.1210  3 Al 2.58-2.61
Ag 0.1210 0.2789 0.8421  3 Al 2.58-2.61
Ag 0.7211 0.8421 0.5632  3 Al 2.58-2.61
Ag 0.1579 0.8790 0.7211  3 Al 2.58-2.61
Ag 0.8421 0.5632 0.7211  3 Al 2.58-2.61
Ag 0.2789 0.1579 0.4368  3 Al 2.58-2.61
Ag 0.5632 0.7211 0.8421  3 Al 2.58-2.61
Ag 0.8790 0.7211 0.1579  3 Al 2.58-2.61
Ag 0.1579 0.4368 0.2789  3 Al 2.58-2.61
Ag 0.4368 0.2789 0.1579  3 Al 2.58-2.61
Ag 0.7211 0.1579 0.8790  3 Al 2.58-2.61
Ag 0.8421 0.1210 0.2789  3 Al 2.58-2.61
Ca 0.0000 0.0000 0.0000  12 Ag 3.08

- Formation energy: 0.252 eV/atom



Record 5
Computed, not measured: a geometry-optimized AgPdBr3 structure at the GGA-PBE level of DFT.

abc: 5.1507 5.1507 5.1507
angles: 90.00 90.00 90.00
With the nearest neighbours (Å) after each atom.
Positions (direct):
Br 0.5000 0.0000 0.0000  2 Pd 2.58
Br 0.0000 0.5000 0.0000  2 Pd 2.58
Br 0.0000 0.0000 0.5000  2 Pd 2.58
Pd 0.0000 0.0000 0.0000  6 Br 2.58
Ag 0.5000 0.5000 0.5000  12 Br 3.64

- E above lowest polymorph: 257 meV/atom



Record 6
Computed, not measured: a geometry-optimized SrZr2Cd2 structure at the GGA-PBE level of DFT.

abc: 8.9264 8.9264 3.2283
angles: 90.00 90.00 90.00
With the nearest neighbours (Å) after each atom.
Positions (direct):
Cd 0.3205 0.1795 0.5000  6 Zr 3.06-3.14, 2 Cd 3.23
Cd 0.6795 0.8205 0.5000  6 Zr 3.06-3.14, 2 Cd 3.23
Cd 0.1795 0.6795 0.5000  6 Zr 3.06-3.14, 2 Cd 3.23
Cd 0.8205 0.3205 0.5000  6 Zr 3.06-3.14, 2 Cd 3.23
Zr 0.6147 0.1147 0.0000  3 Zr 2.89-3.23, 6 Cd 3.06-3.14
Zr 0.3853 0.8853 0.0000  3 Zr 2.89-3.23, 6 Cd 3.06-3.14
Zr 0.1147 0.3853 0.0000  3 Zr 2.89-3.23, 6 Cd 3.06-3.14
Zr 0.8853 0.6147 0.0000  3 Zr 2.89-3.23, 6 Cd 3.06-3.14
Sr 0.0000 0.0000 0.0000  2 Sr 3.23, 4 Zr 3.59
Sr 0.5000 0.5000 0.0000  2 Sr 3.23, 4 Zr 3.59

- E above lowest polymorph: 0 meV/atom
- Formation energy: 0.063 eV/atom



Record 7
Computed, not measured: a geometry-optimized Ca5La structure at the GGA-PBE level of DFT.

abc: 6.9981 6.9981 6.2886
angles: 90.00 90.00 120.00
With the nearest neighbours (Å) after each atom.
Positions (direct):
Ca 0.5000 0.0000 0.5000  8 Ca 3.50-3.74
Ca 0.3333 0.6667 0.0000  9 Ca 3.74-4.04, 3 La 4.04
Ca 0.6667 0.3333 0.0000  9 Ca 3.74-4.04, 3 La 4.04
Ca 0.5000 0.5000 0.5000  8 Ca 3.50-3.74
Ca 0.0000 0.5000 0.5000  8 Ca 3.50-3.74
La 0.0000 0.0000 0.0000  6 Ca 4.04

- E above lowest polymorph: 245 meV/atom
- Formation energy: 0.278 eV/atom



Record 8
Computed, not measured: a geometry-optimized Zr2HgBr structure at the GGA-PBE level of DFT.

abc: 3.2097 3.2097 9.3479
angles: 90.00 90.00 111.62
With the nearest neighbours (Å) after each atom.
Positions (direct):
Hg 0.5000 0.5000 0.7500  4 Zr 3.01, 4 Hg 3.21
Zr 0.0000 0.0000 0.4925  2 Br 2.90, 2 Hg 3.01, 4 Zr 3.21
Zr 0.0000 0.0000 0.0075  2 Br 2.90, 2 Hg 3.01, 4 Zr 3.21
Br 0.5000 0.5000 0.2500  4 Zr 2.90, 4 Br 3.21

- E above lowest polymorph: 305 meV/atom



Record 9
Computed, not measured: a geometry-optimized Ho3MgZn structure at the GGA-PBE level of DFT.

abc: 5.1149 5.1096 10.2353
angles: 90.00 75.53 90.00
With the nearest neighbours (Å) after each atom.
Positions (direct):
Ho 0.8885 0.7500 0.8714  2 Mg 3.14, 2 Zn 3.18
Ho 0.0748 0.7500 0.4988  4 Zn 3.11-3.12, 4 Mg 3.15-3.17
Ho 0.3855 0.2500 0.8773  2 Mg 3.17, 2 Zn 3.22, 2 Ho 3.53
Ho 0.7599 0.2500 0.1286  2 Mg 3.14, 2 Zn 3.18
Ho 0.5736 0.2500 0.5012  4 Zn 3.11-3.12, 4 Mg 3.15-3.17
Ho 0.2628 0.7500 0.1227  2 Mg 3.17, 2 Zn 3.22, 2 Ho 3.53
Mg 0.4806 0.7500 0.6872  8 Ho 3.14-3.17
Mg 0.1678 0.2500 0.3128  8 Ho 3.14-3.17
Zn 0.9844 0.2500 0.6796  8 Ho 3.11-3.22
Zn 0.6640 0.7500 0.3204  8 Ho 3.11-3.22

- Formation energy: -0.130 eV/atom



Record 10
Computed, not measured: a geometry-optimized ErLu3Ni structure at the GGA-PBE level of DFT.

abc: 5.1860 5.1860 5.1860
angles: 90.00 90.00 90.00
With the nearest neighbours (Å) after each atom.
Positions (direct):
Er 0.5000 0.5000 0.5000  12 Lu 3.67
Ni 0.0000 0.0000 0.0000  6 Lu 2.59
Lu 0.0000 0.0000 0.5000  2 Ni 2.59
Lu 0.0000 0.5000 0.0000  2 Ni 2.59
Lu 0.5000 0.0000 0.0000  2 Ni 2.59

- Formation energy: -0.074 eV/atom



Record 11
Computed, not measured: a geometry-optimized CsMg2RhPb structure at the GGA-PBE level of DFT.

abc: 5.3039 5.3039 5.2816
angles: 90.00 90.00 90.00
With the nearest neighbours (Å) after each atom.
Positions (direct):
Cs 0.5000 0.5000 0.5000  8 Mg 3.74, 4 Pb 3.75
Mg 0.0000 0.5000 0.0000  2 Rh 2.65
Mg 0.5000 0.0000 0.0000  2 Rh 2.65
Rh 0.0000 0.0000 0.0000  2 Pb 2.64, 4 Mg 2.65
Pb 0.0000 0.0000 0.5000  2 Rh 2.64

- Formation energy: -0.120 eV/atom



Record 12
Computed, not measured: a geometry-optimized TiNbAlPt2 structure at the GGA-PBE level of DFT.

abc: 4.6250 4.6540 4.6250
angles: 90.00 90.00 90.00
With the nearest neighbours (Å) after each atom.
Positions (direct):
Ti 0.0000 0.0000 0.0000  4 Pt 2.31, 2 Al 2.33
Pt 0.5000 0.0000 0.0000  2 Ti 2.31
Pt 0.0000 0.0000 0.5000  2 Ti 2.31
Al 0.0000 0.5000 0.0000  2 Ti 2.33
Nb 0.5000 0.5000 0.5000  4 Al 3.27, 8 Pt 3.28

- Formation energy: 0.660 eV/atom



Record 13
Computed, not measured: a geometry-optimized MnHgOs structure at the GGA-PBE level of DFT.

abc: 6.1752 6.1752 6.1752
angles: 153.51 153.51 37.81
With the nearest neighbours (Å) after each atom.
Positions (direct):
Mn 0.3129 0.3129 0.0000  4 Os 2.45
Os 0.6920 0.6920 0.0000  4 Mn 2.45
Hg 0.9951 0.9951 0.0000  4 Hg 2.83, 4 Mn 2.92, 4 Os 3.05

- E above lowest polymorph: 0 meV/atom
- Formation energy: 0.427 eV/atom



Record 14
Computed, not measured: a geometry-optimized HfTiC2 structure at the GGA-PBE level of DFT.

abc: 5.4802 5.4802 5.4802
angles: 33.91 33.91 33.91
With the nearest neighbours (Å) after each atom.
Positions (direct):
C 0.2458 0.2458 0.2458  3 Ti 2.22, 3 Hf 2.29
C 0.7542 0.7542 0.7542  3 Ti 2.22, 3 Hf 2.29
Hf 0.0000 0.0000 0.0000  6 C 2.29
Ti 0.5000 0.5000 0.5000  6 C 2.22

- E above lowest polymorph: 0 meV/atom
- Formation energy: -0.829 eV/atom



Record 15
Computed, not measured: a geometry-optimized CdPW2 structure at the GGA-PBE level of DFT.

abc: 5.3153 5.3153 4.7320
angles: 63.54 63.54 33.69
With the nearest neighbours (Å) after each atom.
Positions (direct):
Cd 0.7500 0.7500 0.7500  4 P 2.82, 8 W 3.02-3.04, 2 Cd 3.08
W 0.5415 0.5415 0.4583  2 P 2.43
W 0.9585 0.9585 0.0417  2 P 2.43
P 0.2500 0.2500 0.2500  4 W 2.43

- E above lowest polymorph: 159 meV/atom
- Formation energy: 0.412 eV/atom



Record 16
Computed, not measured: a geometry-optimized Na3CaPb4 structure at the GGA-PBE level of DFT.

abc: 4.9978 4.9984 9.9596
angles: 104.81 104.53 90.00
With the nearest neighbours (Å) after each atom.
Positions (direct):
Pb 0.3753 0.3745 0.7505  6 Na 3.39-3.43, 2 Ca 3.40-3.42, 4 Pb 3.53-3.54
Pb 0.1247 0.1248 0.2495  6 Na 3.40-3.44, 2 Ca 3.41, 4 Pb 3.53-3.54
Pb 0.6247 0.6255 0.2495  6 Na 3.39-3.43, 2 Ca 3.40-3.42, 4 Pb 3.53-3.54
Pb 0.8753 0.8752 0.7505  6 Na 3.40-3.44, 2 Ca 3.41, 4 Pb 3.53-3.54
Na 0.0000 0.5000 0.0000  8 Pb 3.40-3.42, 4 Ca 3.53
Na 0.7488 0.2492 0.4976  8 Pb 3.39-3.44, 4 Na 3.53-3.54
Na 0.2512 0.7508 0.5024  8 Pb 3.39-3.44, 4 Na 3.53-3.54
Ca 0.5000 0.0000 0.0000  8 Pb 3.40-3.42, 4 Na 3.53

- Formation energy: -0.223 eV/atom



Record 17
Computed, not measured: a geometry-optimized BaHgMo2 structure at the GGA-PBE level of DFT.

abc: 5.0409 5.3634 4.5677
angles: 80.27 90.00 90.00
With the nearest neighbours (Å) after each atom.
Positions (direct):
Mo 0.0000 0.6702 0.4782  1 Mo 2.12
Mo 0.0000 0.8298 0.0218  1 Mo 2.12
Hg 0.5000 0.7500 0.7500  4 Mo 2.87, 2 Ba 3.22
Ba 0.5000 0.2500 0.2500  2 Hg 3.22

- Formation energy: 0.923 eV/atom



Record 18
Computed, not measured: a geometry-optimized YIn2Rh structure at the GGA-PBE level of DFT.

abc: 5.5842 8.1324 15.6077
angles: 90.00 90.00 90.00
With the nearest neighbours (Å) after each atom.
Positions (direct):
Rh 0.4749 0.7500 0.4289  6 In 2.78-2.81, 3 Y 2.91-3.07
Rh 0.7603 0.7500 0.6823  6 In 2.76-2.79, 3 Y 3.04-3.05
Rh 0.2397 0.2500 0.3177  6 In 2.76-2.79, 3 Y 3.04-3.05
Rh 0.9749 0.2500 0.0711  6 In 2.78-2.81, 3 Y 2.91-3.07
Rh 0.7397 0.7500 0.1823  6 In 2.76-2.79, 3 Y 3.04-3.05
Rh 0.0251 0.7500 0.9289  6 In 2.78-2.81, 3 Y 2.91-3.07
Rh 0.2603 0.2500 0.8177  6 In 2.76-2.79, 3 Y 3.04-3.05
Rh 0.5251 0.2500 0.5711  6 In 2.78-2.81, 3 Y 2.91-3.07
In 0.7455 0.9503 0.0368  3 Rh 2.79-2.81, 1 In 3.08
In 0.4664 0.5471 0.2854  3 Rh 2.76-2.78
In 0.2455 0.4503 0.4632  3 Rh 2.79-2.81, 1 In 3.08
In 0.5336 0.0471 0.7146  3 Rh 2.76-2.78
In 0.5336 0.4529 0.7146  3 Rh 2.76-2.78
In 0.2545 0.0497 0.9632  3 Rh 2.79-2.81, 1 In 3.08
In 0.7545 0.5497 0.5368  3 Rh 2.79-2.81, 1 In 3.08
In 0.7455 0.5497 0.0368  3 Rh 2.79-2.81, 1 In 3.08
In 0.2455 0.0497 0.4632  3 Rh 2.79-2.81, 1 In 3.08
In 0.9664 0.4529 0.2146  3 Rh 2.76-2.78
In 0.4664 0.9529 0.2854  3 Rh 2.76-2.78
In 0.0336 0.9529 0.7854  3 Rh 2.76-2.78
In 0.2545 0.4503 0.9632  3 Rh 2.79-2.81, 1 In 3.08
In 0.9664 0.0471 0.2146  3 Rh 2.76-2.78
In 0.0336 0.5471 0.7854  3 Rh 2.76-2.78
In 0.7545 0.9503 0.5368  3 Rh 2.79-2.81, 1 In 3.08
Y 0.2602 0.7500 0.6041  3 Rh 2.98-3.05, 4 In 3.28-3.34
Y 0.7398 0.2500 0.3959  3 Rh 2.98-3.05, 4 In 3.28-3.34
Y 0.9595 0.7500 0.3607  3 Rh 2.91-3.07
Y 0.5405 0.7500 0.8607  3 Rh 2.91-3.07
Y 0.7602 0.2500 0.8959  3 Rh 2.98-3.05, 4 In 3.28-3.34
Y 0.2398 0.7500 0.1041  3 Rh 2.98-3.05, 4 In 3.28-3.34
Y 0.4595 0.2500 0.1393  3 Rh 2.91-3.07
Y 0.0405 0.2500 0.6393  3 Rh 2.91-3.07

- Formation energy: -0.604 eV/atom



Record 19
Computed, not measured: a geometry-optimized ErZn2Pd5 structure at the GGA-PBE level of DFT.

abc: 6.9397 6.9397 7.3296
angles: 118.26 118.26 90.00
With the nearest neighbours (Å) after each atom.
Positions (direct):
Er 0.2500 0.2500 0.5000  10 Pd 2.72-2.86
Er 0.7500 0.7500 0.5000  10 Pd 2.72-2.86
Zn 0.6517 0.1517 0.0000  8 Pd 2.61-2.65
Zn 0.3483 0.8483 0.0000  8 Pd 2.61-2.65
Zn 0.8483 0.6517 0.0000  8 Pd 2.61-2.65
Zn 0.1517 0.3483 0.0000  8 Pd 2.61-2.65
Pd 0.7979 0.0100 0.3079  3 Zn 2.61-2.65, 3 Pd 2.82-2.89, 2 Er 2.86
Pd 0.4900 0.7021 0.6921  3 Zn 2.61-2.65, 3 Pd 2.82-2.89, 2 Er 2.86
Pd 0.2021 0.9900 0.6921  3 Zn 2.61-2.65, 3 Pd 2.82-2.89, 2 Er 2.86
Pd 0.5100 0.2979 0.3079  3 Zn 2.61-2.65, 3 Pd 2.82-2.89, 2 Er 2.86
Pd 0.9900 0.4900 0.6921  3 Zn 2.61-2.65, 3 Pd 2.82-2.89, 2 Er 2.86
Pd 0.7021 0.2021 0.6921  3 Zn 2.61-2.65, 3 Pd 2.82-2.89, 2 Er 2.86
Pd 0.5000 0.5000 0.0000  4 Zn 2.64, 2 Er 2.72
Pd 0.0000 0.0000 0.0000  4 Zn 2.64, 2 Er 2.72
Pd 0.2979 0.7979 0.3079  3 Zn 2.61-2.65, 3 Pd 2.82-2.89, 2 Er 2.86
Pd 0.0100 0.5100 0.3079  3 Zn 2.61-2.65, 3 Pd 2.82-2.89, 2 Er 2.86

- Formation energy: -0.599 eV/atom



Record 20
Computed, not measured: a geometry-optimized Cd3SbSe structure at the GGA-PBE level of DFT.

abc: 5.3000 5.3000 5.3000
angles: 90.00 90.00 90.00
With the nearest neighbours (Å) after each atom.
Positions (direct):
Sb 0.5000 0.5000 0.5000  12 Cd 3.75
Cd 0.0000 0.5000 0.0000  2 Se 2.65
Cd 0.0000 0.0000 0.5000  2 Se 2.65
Cd 0.5000 0.0000 0.0000  2 Se 2.65
Se 0.0000 0.0000 0.0000  6 Cd 2.65

- E above lowest polymorph: 393 meV/atom



Number 1: energy -7.9243 eV/atom. Number 2: energy -2.6749 eV/atom. Number 3: energy -6.2834 eV/atom. Number 4: energy -2.8690 eV/atom. Number 5: energy -2.6627 eV/atom. Number 6: energy -4.0585 eV/atom. Number 7: energy -2.2108 eV/atom. Number 8: energy -4.8521 eV/atom. Number 9: energy -3.4499 eV/atom. Number 10: energy -4.8552 eV/atom. Number 11: energy -3.1402 eV/atom. Number 12: energy -6.0977 eV/atom. Number 13: energy -6.4733 eV/atom. Number 14: energy -9.9032 eV/atom. Number 15: energy -7.6457 eV/atom. Number 16: energy -2.8223 eV/atom. Number 17: energy -5.0487 eV/atom. Number 18: energy -5.4273 eV/atom. Number 19: energy -4.7332 eV/atom. Number 20: energy -1.7851 eV/atom.